(1)
DFT (PBE) results for a geometry-optimized Tl2CoBr6 structure.

The formation energy without anion corrections comes out at -0.440 eV/atom. Its density of states at the Fermi level is 1.0284 states/eV/atom.

Cell: 6.9521 6.9521 12.4847 Å, 90.00 90.00 90.00°
Last column: nearest neighbours and their distance in Å.
Element x y z (fractional)
Tl  0.0000  0.0000  0.1558  6 Br 3.09-3.21
Tl  0.0000  0.0000  0.8442  6 Br 3.09-3.21
Tl  0.5000  0.5000  0.3442  6 Br 3.09-3.21
Tl  0.5000  0.5000  0.6558  6 Br 3.09-3.21
Co  0.0000  0.0000  0.5000  6 Br 2.42-2.43
Co  0.5000  0.5000  0.0000  6 Br 2.42-2.43
Br  0.1740  0.1740  0.3615  1 Co 2.43
Br  0.1740  0.1740  0.6385  1 Co 2.43
Br  0.2461  0.7539  0.5000  1 Co 2.42
Br  0.2539  0.2539  0.0000  1 Co 2.42
Br  0.3260  0.6740  0.1385  1 Co 2.43
Br  0.3260  0.6740  0.8615  1 Co 2.43
Br  0.6740  0.3260  0.1385  1 Co 2.43
Br  0.6740  0.3260  0.8615  1 Co 2.43
Br  0.7461  0.7461  0.0000  1 Co 2.42
Br  0.7539  0.2461  0.5000  1 Co 2.42
Br  0.8260  0.8260  0.3615  1 Co 2.43
Br  0.8260  0.8260  0.6385  1 Co 2.43


(2)
DFT (PBE) results for a geometry-optimized Tl2CoBr2 structure.

The calculation puts the energy above the most stable polymorph in this dataset at 228 meV/atom. The formation energy without anion corrections comes out at 0.370 eV/atom. Its density of states at the Fermi level is 2.5366 states/eV/atom.

Cell: 7.4910 7.4910 7.4910 Å, 135.61 135.61 64.58°
Last column: nearest neighbours and their distance in Å.
Element x y z (fractional)
Tl  0.1380  0.1380  0.0000  4 Br 3.17, 1 Tl 3.50
Tl  0.8620  0.8620  0.0000  4 Br 3.17, 1 Tl 3.50
Co  0.5000  0.5000  0.0000  8 Br 4.25, 10 Tl 4.37-4.59
Br  0.2500  0.7500  0.5000  4 Tl 3.17
Br  0.7500  0.2500  0.5000  4 Tl 3.17


(3)
DFT (PBE) results for a geometry-optimized TlCo2Br6 structure.

The formation energy without anion corrections comes out at -0.404 eV/atom. Its density of states at the Fermi level is 1.0387 states/eV/atom.

Cell: 9.9622 9.9622 6.7974 Å, 97.42 97.42 90.31°
Last column: nearest neighbours and their distance in Å.
Element x y z (fractional)
Tl  0.1301  0.8699  0.7500  6 Br 3.26-3.58
Tl  0.8699  0.1301  0.2500  6 Br 3.26-3.58
Co  0.2225  0.3718  0.7435  4 Br 2.31-2.42
Co  0.3718  0.2225  0.2435  4 Br 2.31-2.42
Co  0.6282  0.7775  0.7565  4 Br 2.31-2.42
Co  0.7775  0.6282  0.2565  4 Br 2.31-2.42
Br  0.0440  0.2132  0.6993  1 Co 2.34
Br  0.1741  0.5779  0.9143  1 Co 2.31
Br  0.2132  0.0440  0.1993  1 Co 2.34
Br  0.2827  0.4168  0.4249  2 Co 2.40-2.42
Br  0.4168  0.2827  0.9249  2 Co 2.40-2.42
Br  0.4221  0.8259  0.5857  1 Co 2.31
Br  0.5779  0.1741  0.4143  1 Co 2.31
Br  0.5832  0.7173  0.0751  2 Co 2.40-2.42
Br  0.7173  0.5832  0.5751  2 Co 2.40-2.42
Br  0.7868  0.9560  0.8007  1 Co 2.34
Br  0.8259  0.4221  0.0857  1 Co 2.31
Br  0.9560  0.7868  0.3007  1 Co 2.34


(4)
DFT (PBE) results for a geometry-optimized Tl3Co2Br8 structure.

The formation energy without anion corrections comes out at -0.549 eV/atom. Its density of states at the Fermi level is 1.0109 states/eV/atom.

Cell: 7.7129 7.7129 9.9357 Å, 109.75 109.75 58.00°
Last column: nearest neighbours and their distance in Å.
Element x y z (fractional)
Tl  0.0000  0.0000  0.0000  6 Br 3.48-3.54
Tl  0.1753  0.1753  0.6214  3 Br 3.19-3.33
Tl  0.8247  0.8247  0.3786  3 Br 3.19-3.33
Co  0.3944  0.3944  0.2112  4 Br 2.34-2.36
Co  0.6056  0.6056  0.7888  4 Br 2.34-2.36
Br  0.2412  0.7549  0.7009  1 Co 2.36
Br  0.2451  0.7588  0.2991  1 Co 2.36
Br  0.2536  0.2536  0.2952  1 Co 2.35
Br  0.3355  0.3355  0.9565  1 Co 2.34
Br  0.6645  0.6645  0.0435  1 Co 2.34
Br  0.7464  0.7464  0.7048  1 Co 2.35
Br  0.7549  0.2412  0.7009  1 Co 2.36
Br  0.7588  0.2451  0.2991  1 Co 2.36


(5)
DFT (PBE) results for a geometry-optimized Tl5CoBr8 structure.

The formation energy without anion corrections comes out at -0.639 eV/atom. Its density of states at the Fermi level is 0.0399 states/eV/atom.

Cell: 8.9202 8.9202 8.9202 Å, 113.69 113.69 101.33°
Last column: nearest neighbours and their distance in Å.
Element x y z (fractional)
Tl  0.0000  0.0000  0.0000  4 Br 3.24
Tl  0.1106  0.4940  0.8275  3 Br 3.09-3.30
Tl  0.5060  0.3334  0.6166  3 Br 3.09-3.30
Tl  0.6666  0.2832  0.1725  3 Br 3.09-3.30
Tl  0.7168  0.8894  0.3834  3 Br 3.09-3.30
Co  0.2500  0.7500  0.5000  4 Br 2.31
Br  0.2765  0.0345  0.6904  1 Co 2.31
Br  0.3440  0.5861  0.3096  1 Co 2.31
Br  0.4039  0.0254  0.2189  4 Tl 3.09-3.30
Br  0.4139  0.7235  0.7580  1 Co 2.31
Br  0.8064  0.1850  0.7811  4 Tl 3.09-3.30
Br  0.8150  0.5961  0.6215  4 Tl 3.09-3.30
Br  0.9655  0.6560  0.2420  1 Co 2.31
Br  0.9746  0.1936  0.3785  4 Tl 3.09-3.30


(6)
DFT (PBE) results for a geometry-optimized Tl2Co2Br7 structure.

The formation energy without anion corrections comes out at -0.471 eV/atom. Its density of states at the Fermi level is 0.7559 states/eV/atom.

Cell: 6.5710 15.8033 8.2865 Å, 90.00 98.64 90.00°
Last column: nearest neighbours and their distance in Å.
Element x y z (fractional)
Tl  0.1229  0.1554  0.4504  6 Br 3.29-3.40
Tl  0.1229  0.3446  0.9504  6 Br 3.29-3.40
Tl  0.8771  0.6554  0.0496  6 Br 3.29-3.40
Tl  0.8771  0.8446  0.5496  6 Br 3.29-3.40
Co  0.3318  0.6073  0.6382  4 Br 2.34-2.41
Co  0.3318  0.8927  0.1382  4 Br 2.34-2.41
Co  0.6682  0.1073  0.8618  4 Br 2.34-2.41
Co  0.6682  0.3927  0.3618  4 Br 2.34-2.41
Br  0.0478  0.6573  0.4582  1 Co 2.34
Br  0.0478  0.8427  0.9582  1 Co 2.34
Br  0.2291  0.5500  0.8751  1 Co 2.35
Br  0.2291  0.9500  0.3751  1 Co 2.35
Br  0.4411  0.2185  0.7754  1 Co 2.35
Br  0.4411  0.2815  0.2754  1 Co 2.35
Br  0.5000  0.0000  0.0000  2 Co 2.41
Br  0.5000  0.5000  0.5000  2 Co 2.41
Br  0.5589  0.7185  0.7246  1 Co 2.35
Br  0.5589  0.7815  0.2246  1 Co 2.35
Br  0.7709  0.0500  0.6249  1 Co 2.35
Br  0.7709  0.4500  0.1249  1 Co 2.35
Br  0.9522  0.1573  0.0418  1 Co 2.34
Br  0.9522  0.3427  0.5418  1 Co 2.34


(7)
DFT (PBE) results for a geometry-optimized TlCo2Br8 structure.

The formation energy without anion corrections comes out at -0.343 eV/atom. Its density of states at the Fermi level is 0.6688 states/eV/atom.

Cell: 8.1160 8.1160 6.7363 Å, 96.41 96.41 74.22°
Last column: nearest neighbours and their distance in Å.
Element x y z (fractional)
Tl  0.0000  0.0000  0.0000  6 Br 2.87-2.98
Co  0.2027  0.2027  0.6495  4 Br 2.27-2.37
Co  0.7973  0.7973  0.3505  4 Br 2.27-2.37
Br  0.0732  0.7069  0.2281  1 Co 2.37
Br  0.1924  0.1924  0.3004  1 Co 2.34
Br  0.2931  0.9268  0.7719  1 Co 2.37
Br  0.3738  0.3738  0.7812  1 Co 2.27
Br  0.6262  0.6262  0.2188  1 Co 2.27
Br  0.7069  0.0732  0.2281  1 Co 2.37
Br  0.8076  0.8076  0.6996  1 Co 2.34
Br  0.9268  0.2931  0.7719  1 Co 2.37


(8)
DFT (PBE) results for a geometry-optimized TlCoBr structure.

The calculation puts the energy above the most stable polymorph in this dataset at 279 meV/atom. The formation energy without anion corrections comes out at 0.488 eV/atom. Its density of states at the Fermi level is 2.1877 states/eV/atom.

Cell: 4.6280 4.6280 4.6280 Å, 60.00 60.00 60.00°
Last column: nearest neighbours and their distance in Å.
Element x y z (fractional)
Tl  0.0000  0.0000  0.0000  4 Co 2.83
Co  0.7500  0.7500  0.7500  4 Tl 2.83, 4 Br 2.83
Br  0.5000  0.5000  0.5000  4 Co 2.83


(9)
DFT (PBE) results for a geometry-optimized Tl2CoBr2 structure.

The calculation puts the energy above the most stable polymorph in this dataset at 0 meV/atom. The formation energy without anion corrections comes out at 0.142 eV/atom. Its density of states at the Fermi level is 1.7903 states/eV/atom.

Cell: 7.5516 7.5516 5.0685 Å, 90.00 90.00 90.00°
Last column: nearest neighbours and their distance in Å.
Element x y z (fractional)
Tl  0.1774  0.3226  0.0000  2 Co 2.78, 2 Br 3.05
Tl  0.3226  0.8226  0.0000  2 Co 2.78, 2 Br 3.05
Tl  0.6774  0.1774  0.0000  2 Co 2.78, 2 Br 3.05
Tl  0.8226  0.6774  0.0000  2 Co 2.78, 2 Br 3.05
Co  0.0000  0.0000  0.0000  4 Tl 2.78
Co  0.5000  0.5000  0.0000  4 Tl 2.78
Br  0.1644  0.6644  0.5000  2 Tl 3.05
Br  0.3356  0.1644  0.5000  2 Tl 3.05
Br  0.6644  0.8356  0.5000  2 Tl 3.05
Br  0.8356  0.3356  0.5000  2 Tl 3.05


(10)
DFT (PBE) results for a geometry-optimized TlCo3Br structure.

The calculation puts the energy above the most stable polymorph in this dataset at 563 meV/atom. The formation energy without anion corrections comes out at 1.603 eV/atom. Its density of states at the Fermi level is 1.6886 states/eV/atom.

Cell: 4.9667 4.9667 4.9667 Å, 90.00 90.00 90.00°
Last column: nearest neighbours and their distance in Å.
Element x y z (fractional)
Tl  0.0000  0.0000  0.0000  6 Co 2.48
Co  0.0000  0.0000  0.5000  2 Tl 2.48
Co  0.0000  0.5000  0.0000  2 Tl 2.48
Co  0.5000  0.0000  0.0000  2 Tl 2.48
Br  0.5000  0.5000  0.5000  12 Co 3.51


(11)
DFT (PBE) results for a geometry-optimized TmCoBr structure.

The formation energy without anion corrections comes out at -1.023 eV/atom. Its density of states at the Fermi level is 0.6112 states/eV/atom.

Cell: 3.8753 3.8753 11.7259 Å, 99.70 99.70 60.00°
Last column: nearest neighbours and their distance in Å.
Element x y z (fractional)
Tm  0.0000  0.0000  0.0000  6 Co 2.89, 3 Br 2.94
Tm  0.1081  0.1081  0.3173  6 Co 2.89, 3 Br 2.94
Co  0.3875  0.3875  0.1587  3 Co 2.24
Co  0.7208  0.7208  0.1586  3 Co 2.24
Br  0.2769  0.2769  0.8340  3 Tm 2.94
Br  0.4975  0.4975  0.4833  3 Tm 2.94


(12)
DFT (PBE) results for a geometry-optimized Tm3CoBr3 structure.

The formation energy without anion corrections comes out at -1.181 eV/atom. Its density of states at the Fermi level is 0.2480 states/eV/atom.

Cell: 8.4090 3.9457 11.6040 Å, 90.00 92.27 90.00°
Last column: nearest neighbours and their distance in Å.
Element x y z (fractional)
Tm  0.0975  0.2500  0.3202  1 Co 2.65, 4 Br 2.86-2.94
Tm  0.1426  0.2500  0.8674  3 Co 2.61-2.75
Tm  0.2606  0.7500  0.1000  2 Co 2.64
Tm  0.7394  0.2500  0.9000  2 Co 2.64
Tm  0.8574  0.7500  0.1326  3 Co 2.61-2.75
Tm  0.9025  0.7500  0.6798  1 Co 2.65, 4 Br 2.86-2.94
Co  0.0513  0.2500  0.0926  6 Tm 2.61-2.75
Co  0.9487  0.7500  0.9074  6 Tm 2.61-2.75
Br  0.1347  0.2500  0.6029  4 Tm 2.94-3.28
Br  0.3407  0.7500  0.3578  3 Tm 2.86-3.04
Br  0.4288  0.7500  0.8686  5 Tm 3.08-3.28
Br  0.5712  0.2500  0.1314  5 Tm 3.08-3.28
Br  0.6593  0.2500  0.6422  3 Tm 2.86-3.04
Br  0.8653  0.7500  0.3971  4 Tm 2.94-3.28


Repeat the eighth record exactly.
DFT (PBE) results for a geometry-optimized TlCoBr structure.

The calculation puts the energy above the most stable polymorph in this dataset at 279 meV/atom. The formation energy without anion corrections comes out at 0.488 eV/atom. Its density of states at the Fermi level is 2.1877 states/eV/atom.

Cell: 4.6280 4.6280 4.6280 Å, 60.00 60.00 60.00°
Last column: nearest neighbours and their distance in Å.
Element x y z (fractional)
Tl  0.0000  0.0000  0.0000  4 Co 2.83
Co  0.7500  0.7500  0.7500  4 Tl 2.83, 4 Br 2.83
Br  0.5000  0.5000  0.5000  4 Co 2.83


formation energy without anion corrections of number 7 (TlCo2Br8)? -0.343 eV/atom